A plane-wave DFT calculation with GGA-PBE was carried out for an optimized crystal structure of AlTl2Br.

a = 3.5979 Å, b = 6.2726 Å, c = 10.2144 Å
α = 90.00°, β = 90.00°, γ = 90.00°
Positions (direct):
Al 0.0000 0.0000 0.0000
Al 0.5000 0.5000 0.0000
Tl 0.0000 0.0000 0.5137
Tl 0.0000 0.5000 0.2330
Tl 0.5000 0.0000 0.2330
Tl 0.5000 0.5000 0.5137
Br 0.0000 0.5000 0.8111
Br 0.5000 0.0000 0.8111

Properties
symmetry	No. 35
raw formation energy	-0.07	eV/atom
ΔE to the lowest computed polymorph	18.3	meV/atom
spin magnetization	0.0	μB per cell
crystal system	orthorhombic
N(E_F)	0.376	states/eV per atom